(1)
Computed, not measured: a crystal of Sm3GaCo3 relaxed with PBEsol at the meta-GGA SCAN level of DFT.

Unit cell a=4.0601 b=5.3826 c=12.8510 alpha=90.00 beta=90.00 gamma=112.16
Closest atoms and distances in Å follow each position.
Fractional coordinates of all 14 atoms:
Sm1 0.4988 0.9975 0.2500  7 Co 2.83-3.01
Sm2 0.7906 0.5811 0.8960  6 Co 2.84-2.93
Co1 0.9205 0.8410 0.0931  1 Co 2.34, 2 Ga 2.49
Co2 0.0795 0.1590 0.9069  1 Co 2.34, 2 Ga 2.49
Sm3 0.7906 0.5811 0.6040  6 Co 2.84-2.93
Co3 0.0795 0.1590 0.5931  1 Co 2.34, 2 Ga 2.49
Co4 0.8011 0.6022 0.2500  2 Co 2.34
Sm4 0.5012 0.0025 0.7500  7 Co 2.83-3.01
Sm5 0.2094 0.4189 0.1040  6 Co 2.84-2.93
Ga1 0.5000 0.0000 0.5000  4 Co 2.49
Co5 0.9205 0.8410 0.4069  1 Co 2.34, 2 Ga 2.49
Sm6 0.2094 0.4189 0.3960  6 Co 2.84-2.93
Co6 0.1989 0.3978 0.7500  2 Co 2.34
Ga2 0.5000 0.0000 0.0000  4 Co 2.49

Formation energy: -200 meV/atom
M_tot: 4.37 Bohr magnetons per cell
Total DFT energy (no corrections): -28.998 eV per atom
Space group: Cmcm, No. 63

(2)
Computed, not measured: a crystal of Sm2Ga9Co3 relaxed with PBEsol at the meta-GGA SCAN level of DFT.

Unit cell a=7.2868 b=7.2868 c=9.3583 alpha=90.00 beta=90.00 gamma=119.63
Closest atoms and distances in Å follow each position.
Fractional coordinates of all 28 atoms:
Ga1 0.1630 0.9512 0.7500  2 Co 2.51, 6 Ga 2.67-2.79
Ga2 0.4981 0.1656 0.9293  3 Co 2.49-2.52, 4 Ga 2.69-2.76
Ga3 0.3763 0.3763 0.7500  2 Co 2.51, 6 Ga 2.69-2.70
Co1 0.8294 0.1706 0.0000  8 Ga 2.49-2.52
Ga4 0.5019 0.8344 0.4293  3 Co 2.49-2.52, 4 Ga 2.69-2.76
Ga5 0.8370 0.0488 0.2500  2 Co 2.51, 6 Ga 2.67-2.79
Sm1 0.8312 0.5029 0.7500  11 Ga 2.95-3.02
Ga6 0.8346 0.8346 0.9448  3 Co 2.51-2.52, 5 Ga 2.64-2.79
Ga7 0.0488 0.8370 0.2500  2 Co 2.51, 6 Ga 2.67-2.79
Sm2 0.4971 0.1688 0.2500  11 Ga 2.95-3.02
Sm3 0.1688 0.4971 0.2500  11 Ga 2.95-3.02
Ga8 0.4981 0.1656 0.5707  3 Co 2.49-2.52, 4 Ga 2.69-2.76
Ga9 0.6237 0.6237 0.2500  2 Co 2.51, 6 Ga 2.69-2.70
Co2 0.1706 0.8294 0.5000  8 Ga 2.49-2.52
Co3 0.8294 0.1706 0.5000  8 Ga 2.49-2.52
Ga10 0.9512 0.1630 0.7500  2 Co 2.51, 6 Ga 2.67-2.79
Ga11 0.8344 0.5019 0.0707  3 Co 2.49-2.52, 4 Ga 2.69-2.76
Sm4 0.5029 0.8312 0.7500  11 Ga 2.95-3.02
Ga12 0.1654 0.1654 0.0552  3 Co 2.51-2.52, 5 Ga 2.64-2.79
Ga13 0.1656 0.4981 0.5707  3 Co 2.49-2.52, 4 Ga 2.69-2.76
Co4 0.5000 0.5000 0.0000  8 Ga 2.51-2.52
Co5 0.5000 0.5000 0.5000  8 Ga 2.51-2.52
Ga14 0.5019 0.8344 0.0707  3 Co 2.49-2.52, 4 Ga 2.69-2.76
Ga15 0.8344 0.5019 0.4293  3 Co 2.49-2.52, 4 Ga 2.69-2.76
Ga16 0.1654 0.1654 0.4448  3 Co 2.51-2.52, 5 Ga 2.64-2.79
Ga17 0.8346 0.8346 0.5552  3 Co 2.51-2.52, 5 Ga 2.64-2.79
Ga18 0.1656 0.4981 0.9293  3 Co 2.49-2.52, 4 Ga 2.69-2.76
Co6 0.1706 0.8294 0.0000  8 Ga 2.49-2.52

Formation energy: -496 meV/atom
M_tot: 0.00 Bohr magnetons per cell
Total DFT energy (no corrections): -21.062 eV per atom
Space group: Cmcm, No. 63

(3)
Computed, not measured: a crystal of SmGa2Co relaxed with PBEsol at the meta-GGA SCAN level of DFT.

Unit cell a=4.0018 b=4.0708 c=8.9953 alpha=76.92 beta=90.00 gamma=90.00
Closest atoms and distances in Å follow each position.
Fractional coordinates of all 8 atoms:
Co1 0.5000 0.5734 0.8532  5 Ga 2.36-2.41, 1 Co 2.57
Ga1 0.5000 0.7080 0.5841  1 Co 2.36, 2 Ga 2.51
Ga2 0.0000 0.5000 0.0000  4 Co 2.38
Co2 0.5000 0.4266 0.1468  5 Ga 2.36-2.41, 1 Co 2.57
Sm1 0.0000 0.8578 0.2845  10 Ga 3.08-3.30, 4 Co 3.10
Ga3 0.5000 0.0000 0.0000  4 Co 2.41
Ga4 0.5000 0.2920 0.4159  1 Co 2.36, 2 Ga 2.51
Sm2 0.0000 0.1422 0.7155  10 Ga 3.08-3.30, 4 Co 3.10

Formation energy: -558 meV/atom
M_tot: 0.00 Bohr magnetons per cell
Total DFT energy (no corrections): -24.168 eV per atom
Space group: Cmmm, No. 65

(4)
Computed, not measured: a crystal of Sm2Ga2Co15 relaxed with PBEsol at the meta-GGA SCAN level of DFT.

Unit cell a=6.2342 b=6.2342 c=6.2342 alpha=83.12 beta=83.12 gamma=83.12
Closest atoms and distances in Å follow each position.
Fractional coordinates of all 19 atoms:
Co1 0.6502 0.1495 0.6502  8 Co 2.39-2.53, 1 Ga 2.56
Co2 0.1495 0.6502 0.6502  8 Co 2.39-2.53, 1 Ga 2.56
Co3 0.0000 0.0000 0.5000  8 Co 2.35-2.39, 2 Ga 2.50
Co4 0.3498 0.3498 0.8505  8 Co 2.39-2.53, 1 Ga 2.56
Co5 0.3498 0.8505 0.3498  8 Co 2.39-2.53, 1 Ga 2.56
Co6 0.8505 0.3498 0.3498  8 Co 2.39-2.53, 1 Ga 2.56
Co7 0.7127 0.0000 0.2873  8 Co 2.35-2.53
Ga1 0.1065 0.1065 0.1065  12 Co 2.50-2.70, 1 Ga 2.56
Co8 0.6502 0.6502 0.1495  8 Co 2.39-2.53, 1 Ga 2.56
Co9 0.0000 0.2873 0.7127  8 Co 2.35-2.53
Co10 0.2873 0.0000 0.7127  8 Co 2.35-2.53
Sm1 0.3513 0.3513 0.3513  15 Co 2.87-3.12, 1 Ga 2.94
Co11 0.7127 0.2873 0.0000  8 Co 2.35-2.53
Co12 0.2873 0.7127 0.0000  8 Co 2.35-2.53
Co13 0.0000 0.5000 0.0000  8 Co 2.35-2.39, 2 Ga 2.50
Co14 0.5000 0.0000 0.0000  8 Co 2.35-2.39, 2 Ga 2.50
Co15 0.0000 0.7127 0.2873  8 Co 2.35-2.53
Ga2 0.8935 0.8935 0.8935  12 Co 2.50-2.70, 1 Ga 2.56
Sm2 0.6487 0.6487 0.6487  15 Co 2.87-3.12, 1 Ga 2.94

Formation energy: -56 meV/atom
M_tot: 23.28 Bohr magnetons per cell
Total DFT energy (no corrections): -20.116 eV per atom
Space group: R-3m, No. 166

(5)
Computed, not measured: a crystal of Sm6GaCo2 relaxed with PBEsol at the meta-GGA SCAN level of DFT.

Unit cell a=8.2907 b=8.2907 c=8.2907 alpha=73.08 beta=70.69 gamma=112.22
Closest atoms and distances in Å follow each position.
Fractional coordinates of all 18 atoms:
Ga1 0.5000 0.0000 0.5000  8 Sm 3.20-3.37
Co1 0.8358 0.5000 0.6642  8 Sm 2.70-2.99
Sm1 0.1872 0.8616 0.3256  3 Co 2.72-2.90
Co2 0.0000 0.8873 0.1127  1 Co 2.23
Sm2 0.8128 0.1384 0.6744  3 Co 2.72-2.90
Sm3 0.3998 0.2187 0.8189  3 Co 2.89-2.99, 1 Ga 3.13
Sm4 0.6002 0.7813 0.1811  3 Co 2.89-2.99, 1 Ga 3.13
Sm5 0.6964 0.2620 0.0416  1 Co 2.70, 1 Ga 3.01
Sm6 0.1872 0.5128 0.6744  3 Co 2.72-2.90
Co3 0.0000 0.1127 0.8873  1 Co 2.23
Sm7 0.9624 0.7813 0.8189  3 Co 2.89-2.99, 1 Ga 3.13
Ga2 0.5000 0.5000 0.0000  8 Sm 3.01-3.13, 2 Co 3.22
Co4 0.1642 0.5000 0.3358  8 Sm 2.70-2.99
Sm8 0.3036 0.2620 0.4344  1 Co 2.70, 1 Ga 3.01
Sm9 0.8128 0.4872 0.3256  3 Co 2.72-2.90
Sm10 0.3036 0.7380 0.9584  1 Co 2.70, 1 Ga 3.01
Sm11 0.6964 0.7380 0.5656  1 Co 2.70, 1 Ga 3.01
Sm12 0.0376 0.2187 0.1811  3 Co 2.89-2.99, 1 Ga 3.13

Formation energy: -200 meV/atom
M_tot: 0.00 Bohr magnetons per cell
Total DFT energy (no corrections): -35.490 eV per atom
Space group: Immm, No. 71

(6)
Computed, not measured: a crystal of Sm8Ga3Co relaxed with PBEsol at the meta-GGA SCAN level of DFT.

Unit cell a=6.7923 b=10.1386 c=10.1386 alpha=120.00 beta=90.00 gamma=90.00
Closest atoms and distances in Å follow each position.
Fractional coordinates of all 24 atoms:
Sm1 0.2100 0.0725 0.5363  1 Co 2.78
Sm2 0.7100 0.5363 0.0725  1 Co 2.78
Sm3 0.7100 0.9275 0.4637  1 Co 2.78
Sm4 0.7245 0.0000 0.0000  6 Ga 3.31-3.38, 8 Sm 3.35-3.57
Sm5 0.0067 0.8287 0.6574  1 Co 2.88, 3 Ga 2.96-3.11
Ga1 0.9646 0.6716 0.8358  7 Sm 2.96-3.31
Sm6 0.0067 0.3426 0.1713  1 Co 2.88, 3 Ga 2.96-3.11
Sm7 0.5067 0.6574 0.8287  1 Co 2.88, 3 Ga 2.96-3.11
Co1 0.4416 0.3333 0.6667  7 Sm 2.62-2.88
Sm8 0.0067 0.8287 0.1713  1 Co 2.88, 3 Ga 2.96-3.11
Sm9 0.2100 0.4637 0.5363  1 Co 2.78
Sm10 0.2100 0.4637 0.9275  1 Co 2.78
Ga2 0.4646 0.3284 0.1642  7 Sm 2.96-3.31
Co2 0.9416 0.6667 0.3333  7 Sm 2.62-2.88
Sm11 0.8271 0.3333 0.6667  1 Co 2.62
Sm12 0.2245 0.0000 0.0000  6 Ga 3.31-3.38, 8 Sm 3.35-3.57
Sm13 0.5067 0.1713 0.3426  1 Co 2.88, 3 Ga 2.96-3.11
Ga3 0.4646 0.8358 0.1642  7 Sm 2.96-3.31
Sm14 0.5067 0.1713 0.8287  1 Co 2.88, 3 Ga 2.96-3.11
Ga4 0.9646 0.1642 0.8358  7 Sm 2.96-3.31
Ga5 0.9646 0.1642 0.3284  7 Sm 2.96-3.31
Ga6 0.4646 0.8358 0.6716  7 Sm 2.96-3.31
Sm15 0.3271 0.6667 0.3333  1 Co 2.62
Sm16 0.7100 0.5363 0.4637  1 Co 2.78

Formation energy: -419 meV/atom
M_tot: 0.00 Bohr magnetons per cell
Total DFT energy (no corrections): -35.576 eV per atom
Space group: P6_3mc, No. 186

(7)
Computed, not measured: a crystal of Sm2Ga3Co relaxed with PBEsol at the meta-GGA SCAN level of DFT.

Unit cell a=3.6747 b=4.2817 c=7.4913 alpha=90.00 beta=90.00 gamma=90.00
Closest atoms and distances in Å follow each position.
Fractional coordinates of all 6 atoms:
Co1 0.5000 0.5000 0.3260  3 Ga 2.42-2.45
Ga1 0.5000 0.0000 0.1755  2 Co 2.42, 1 Ga 2.55
Ga2 0.5000 0.5000 0.6532  1 Co 2.45, 2 Ga 2.54
Ga3 0.5000 0.0000 0.8347  3 Ga 2.54-2.55
Sm1 0.0000 0.0000 0.4853  8 Ga 2.96-3.20, 4 Co 3.06
Sm2 0.0000 0.5000 0.0253  2 Co 2.91, 8 Ga 3.04-3.16

Formation energy: -594 meV/atom
M_tot: 0.89 Bohr magnetons per cell
Total DFT energy (no corrections): -26.465 eV per atom
Space group: Pmm2, No. 25

(8)
Computed, not measured: a crystal of Ga2Co2Sn relaxed with PBEsol at the meta-GGA SCAN level of DFT.

Unit cell a=3.9577 b=3.9577 c=5.7066 alpha=110.29 beta=110.29 gamma=90.00
Closest atoms and distances in Å follow each position.
Fractional coordinates of all 5 atoms:
Co1 0.7500 0.2500 0.5000  4 Ga 2.33
Sn1 0.0000 0.0000 0.0000  8 Ga 3.07, 8 Co 3.18
Ga1 0.6270 0.6270 0.2540  4 Co 2.33, 1 Ga 2.53
Co2 0.2500 0.7500 0.5000  4 Ga 2.33
Ga2 0.3730 0.3730 0.7460  4 Co 2.33, 1 Ga 2.53

Formation energy: 327 meV/atom
M_tot: 0.00 Bohr magnetons per cell
Total DFT energy (no corrections): -20.318 eV per atom
Space group: I4/mmm, No. 139

(9)
Computed, not measured: a crystal of Ga3CoSn relaxed with PBEsol at the meta-GGA SCAN level of DFT.

Unit cell a=4.5442 b=4.5442 c=4.5442 alpha=90.00 beta=90.00 gamma=90.00
Closest atoms and distances in Å follow each position.
Fractional coordinates of all 5 atoms:
Co1 0.0000 0.0000 0.0000  6 Ga 2.27
Ga1 0.0000 0.0000 0.5000  2 Co 2.27
Ga2 0.0000 0.5000 0.0000  2 Co 2.27
Ga3 0.5000 0.0000 0.0000  2 Co 2.27
Sn1 0.5000 0.5000 0.5000  12 Ga 3.21

Formation energy: 124 meV/atom
M_tot: 0.00 Bohr magnetons per cell
Total DFT energy (no corrections): -20.329 eV per atom
Space group: Pm-3m, No. 221

(10)
Computed, not measured: a crystal of SrGa2Co relaxed with PBEsol at the meta-GGA SCAN level of DFT.

Unit cell a=4.6610 b=4.6610 c=4.6610 alpha=60.00 beta=60.00 gamma=60.00
Closest atoms and distances in Å follow each position.
Fractional coordinates of all 4 atoms:
Co1 0.0000 0.0000 0.0000  8 Ga 2.85
Ga1 0.7500 0.7500 0.7500  4 Sr 2.85, 4 Co 2.85
Sr1 0.5000 0.5000 0.5000  8 Ga 2.85
Ga2 0.2500 0.2500 0.2500  4 Co 2.85, 4 Sr 2.85

Formation energy: 144 meV/atom
M_tot: 1.64 Bohr magnetons per cell
Total DFT energy (no corrections): -17.924 eV per atom
Space group: Fm-3m, No. 225